# Cd2NiWO6 GGA+U relaxed
# Space group: P2_1/c (14)
# Fermi-level density of states: 0.0 states/eV/f.u.
# Raw total energy: -5.580 eV per atom
# Volume: 237 Å³ per cell
data_Cd2NiWO6
_chemical_formula_sum 'Cd4 Ni2 W2 O12'
_space_group_name_H-M_alt 'P 1'
_space_group_IT_number 1
_space_group_name_Hall 'P 1'
_cell_length_a 5.428
_cell_length_b 5.557
_cell_length_c 7.853
_cell_angle_alpha 90.00
_cell_angle_beta 90.02
_cell_angle_gamma 90.00
loop_
_atom_site_label
_atom_site_type_symbol
_atom_site_fract_x
_atom_site_fract_y
_atom_site_fract_z
W1 W 0.000 0.500 0.000
W2 W 0.500 0.000 0.500
O1 O 0.313 0.710 0.442
O2 O 0.708 0.307 0.950
O3 O 0.187 0.210 0.058
O4 O 0.687 0.290 0.558
O5 O 0.398 0.962 0.740
O6 O 0.602 0.038 0.260
O7 O 0.813 0.790 0.942
O8 O 0.792 0.807 0.550
O9 O 0.208 0.193 0.450
O10 O 0.102 0.462 0.760
O11 O 0.292 0.693 0.050
O12 O 0.898 0.538 0.240
Ni1 Ni 0.500 0.000 0.000
Ni2 Ni 0.000 0.500 0.500
Cd1 Cd 0.989 0.044 0.750
Cd2 Cd 0.511 0.544 0.750
Cd3 Cd 0.489 0.456 0.250
Cd4 Cd 0.011 0.956 0.250